An optimized crystal structure of Ac8Ge3Se4Br. Source: Alexandria, functional GGA-PBE.

Cell and atoms, written as POSCAR:
```
Ac8Ge3Se4Br
1.0
-0.9599 9.0412 -0.6836
-7.7621 -0.4710 4.6697
7.6592 -3.5215 3.4745
Se Br Ac Ge
4 1 8 3
direct
0.0000 0.0000 0.5000 Se
0.0000 0.0000 0.0000 Se
0.5000 0.0000 0.0000 Se
0.5000 0.0000 0.5000 Se
0.0000 0.5000 0.0000 Br
0.2533 0.2598 0.5066 Ac
0.7448 0.2543 0.0096 Ac
0.2648 0.2543 0.0096 Ac
0.2552 0.7457 0.9904 Ac
0.7467 0.7402 0.4934 Ac
0.2553 0.7457 0.5105 Ac
0.7352 0.7457 0.9904 Ac
0.7447 0.2543 0.4895 Ac
0.0000 0.5000 0.5000 Ge
0.5000 0.5000 0.0000 Ge
0.5000 0.5000 0.5000 Ge
```

Its space group is R-3m (166). Its calculated density is 7.6 g/cm3. For the total magnetization, the calculation gives 0.00 μB per formula unit. The total DFT energy (no corrections) comes out at -0.39278 Ry/atom.

An optimized crystal structure of Ba2In3Ag9. Source: Alexandria, functional GGA-PBE.

Cell and atoms, written as POSCAR:
```
Ba2In3Ag9
1.0
8.5364 0.1243 0.0000
-4.1073 7.4844 0.0000
0.0000 0.0000 10.3477
Ag In Ba
18 6 4
direct
0.9889 0.6614 0.5844 Ag
0.3386 0.0111 0.4156 Ag
0.4652 0.6642 0.7500 Ag
0.0111 0.3386 0.0844 Ag
0.3399 0.3399 0.4957 Ag
0.1401 0.1401 0.2500 Ag
0.3358 0.5348 0.2500 Ag
0.3386 0.0111 0.0844 Ag
0.8599 0.8599 0.7500 Ag
0.6642 0.4652 0.7500 Ag
0.5348 0.3358 0.2500 Ag
0.6614 0.9889 0.9156 Ag
0.6614 0.9889 0.5844 Ag
0.6601 0.6601 0.5043 Ag
0.9889 0.6614 0.9156 Ag
0.6601 0.6601 0.9957 Ag
0.3399 0.3399 0.0043 Ag
0.0111 0.3386 0.4156 Ag
0.3189 0.6811 0.5000 In
0.0000 0.0000 0.0000 In
0.0000 0.0000 0.5000 In
0.6811 0.3189 0.5000 In
0.3189 0.6811 0.0000 In
0.6811 0.3189 0.0000 In
0.6673 0.9761 0.2500 Ba
0.3327 0.0239 0.7500 Ba
0.0239 0.3327 0.7500 Ba
0.9761 0.6673 0.2500 Ba
```

Its space group is Cmcm (63). Its calculated density is 7.9 g/cm3. The calculation puts the formation energy at -0.179 eV per atom. For the total magnetization, the calculation gives 0.00 μB per formula unit. The total DFT energy (no corrections) comes out at -0.21119 Ry/atom.

An optimized crystal structure of TlCo2IrRh. Source: Alexandria, functional GGA-PBE.

Cell and atoms, written as POSCAR:
```
TlCo2IrRh
1.0
4.5907 0.0000 0.0000
0.0000 4.7924 0.0000
0.0000 0.0000 4.5907
Tl Ir Co Rh
1 1 2 1
direct
0.5000 0.5000 0.5000 Tl
0.0000 0.5000 0.0000 Ir
0.0000 0.0000 0.5000 Co
0.5000 0.0000 0.0000 Co
0.0000 0.0000 0.0000 Rh
```

Its space group is P4/mmm (123). Its calculated density is 10.2 g/cm3. The calculation puts the formation energy at 1.266 eV per atom. For the total magnetization, the calculation gives 4.74 μB per formula unit. The total DFT energy (no corrections) comes out at -0.38894 Ry/atom.

An optimized crystal structure of TmHfOsRh. Source: Alexandria, functional GGA-PBE.

Cell and atoms, written as POSCAR:
```
TmHfOsRh
1.0
-2.0985 -0.7922 4.1073
0.3667 -4.1935 2.0446
2.5664 -0.4941 3.8820
Hf Tm Os Rh
1 1 1 1
direct
0.7500 0.7500 0.7500 Hf
0.2500 0.2500 0.2500 Tm
0.5000 0.5000 0.5000 Os
0.0000 0.0000 0.0000 Rh
```

Its space group is F-43m (216). Its calculated density is 14.7 g/cm3. The calculation puts the formation energy at -0.712 eV per atom. For the total magnetization, the calculation gives 0.00 μB per formula unit. The total DFT energy (no corrections) comes out at -0.65878 Ry/atom. The calculation puts the energy above the lowest structure with this stoichiometry at 0.16 eV per formula unit.

An optimized crystal structure of CoCuSe4. Source: Alexandria, functional GGA-PBE.

Cell and atoms, written as POSCAR:
```
CoCuSe4
1.0
-3.1504 3.9884 -3.1460
-4.4625 -5.3448 -2.3073
1.0100 0.9146 7.5877
Co Se Cu
2 8 2
direct
0.0000 0.5000 0.0000 Co
0.0000 0.0000 0.0000 Co
0.7767 0.2702 0.0405 Se
0.2629 0.1824 0.4260 Se
0.2233 0.7298 0.9595 Se
0.7372 0.8176 0.5740 Se
0.7317 0.7438 0.9876 Se
0.7371 0.2564 0.5740 Se
0.2628 0.7436 0.4260 Se
0.2683 0.2562 0.0124 Se
0.2593 0.5599 0.6198 Cu
0.7407 0.4401 0.3802 Cu
```

Its space group is C2/m (12). Its calculated density is 6.0 g/cm3. For the total magnetization, the calculation gives 0.00 μB per formula unit. The total DFT energy (no corrections) comes out at -0.31728 Ry/atom. The calculation puts the energy above the lowest structure with this stoichiometry at 0.15 eV per formula unit.

An optimized crystal structure of ZrTe2Os. Source: Alexandria, functional GGA-PBE.

Cell and atoms, written as POSCAR:
```
ZrTe2Os
1.0
-3.3393 -0.2873 -0.8874
1.0428 -3.8535 -2.6768
-0.7645 -2.8450 3.7979
Te Zr Os
2 1 1
direct
0.0000 0.5000 0.5000 Te
0.0000 0.0000 0.0000 Te
0.5000 0.5000 0.0000 Zr
0.5000 0.0000 0.5000 Os
```

Its space group is P4/mmm (123). Its calculated density is 11.1 g/cm3. For the total magnetization, the calculation gives 0.00 μB per formula unit. The total DFT energy (no corrections) comes out at -0.47939 Ry/atom. The calculation puts the energy above the lowest structure with this stoichiometry at 1.18 eV per formula unit.